1.
Below is a geometry-optimized In3SeBr7 structure, with properties calculated at the PBE level.

Cell lengths 13.721, 7.920, 9.750 Å; angles 90.00, 134.62, 90.00 degrees
Space group Cm (No. 8)
One atom of each set of equivalent atoms:
In  0.000  0.000  0.000 [2 per cell]
In  0.237  0.237  0.000 [4 per cell]
Se  0.044  0.000  0.773 [2 per cell]
Br  0.060  0.500  0.793 [2 per cell]
Br  0.196  0.243  0.239 [4 per cell]
Br  0.301  0.257  0.791 [4 per cell]
Br  0.439  0.000  0.238 [2 per cell]
Br  0.442  0.500  0.234 [2 per cell]

Its electronic total energy is -2.89 eV per atom. As for the uncorrected formation energy: -8.327 eV per formula unit.

2.
Below is a geometry-optimized KCoRuSe2 structure, with properties calculated at the PBE level.

Cell lengths 4.890, 4.890, 4.736 Å; angles 90.00, 90.00, 90.00 degrees
Space group P4/mmm (No. 123)
One atom of each set of equivalent atoms:
K  0.000  0.000  0.000 [1 per cell]
Co  0.500  0.500  0.500 [1 per cell]
Ru  0.500  0.500  0.000 [1 per cell]
Se  0.000  0.500  0.500 [2 per cell]

The energy above the most stable polymorph in this dataset comes out at 0 meV/atom. Its electronic total energy is -4.45 eV per atom. As for the uncorrected formation energy: 2.203 eV per formula unit.

3.
Below is a geometry-optimized Ce2Tm2Ru3 structure, with properties calculated at the PBE level.

Cell lengths 8.551, 8.551, 8.551 Å; angles 90.00, 90.00, 90.00 degrees
Space group I2_13 (No. 199)
One atom of each set of equivalent atoms:
Ce  0.196  0.196  0.196 [8 per cell]
Tm  0.039  0.461  0.539 [8 per cell]
Ru  0.000  0.250  0.797 [12 per cell]

The energy above the most stable polymorph in this dataset comes out at 14 meV/atom. Its electronic total energy is -7.30 eV per atom. The calculated formation energy comes out at -356 meV per atom.

4.
Below is a geometry-optimized BiTe3Au2 structure, with properties calculated at the PBE level.

Cell lengths 23.121, 4.249, 7.622 Å; angles 90.00, 98.59, 90.00 degrees
Space group C2/m (No. 12)
One atom of each set of equivalent atoms:
Bi  0.146  0.000  0.496 [4 per cell]
Te  0.072  0.500  0.280 [4 per cell]
Te  0.086  0.000  0.868 [4 per cell]
Te  0.247  0.500  0.717 [4 per cell]
Au  0.050  0.500  0.641 [4 per cell]
Au  0.205  0.000  0.924 [4 per cell]

Its electronic total energy is -3.34 eV per atom. As for the uncorrected formation energy: -0.202 eV per formula unit.

5.
Below is a geometry-optimized CsNi2 structure, with properties calculated at the PBE level.

Cell lengths 4.655, 4.073, 10.486 Å; angles 90.00, 90.28, 90.00 degrees
Space group P2_1 (No. 4)
One atom of each set of equivalent atoms:
Cs  0.249  0.000  0.232 [2 per cell]
Ni  0.126  0.504  0.498 [2 per cell]
Ni  0.377  0.004  0.533 [2 per cell]

Its electronic total energy is -3.82 eV per atom. The calculated formation energy comes out at 317 meV per atom.

6.
Below is a geometry-optimized TlSb2Br structure, with properties calculated at the PBE level.

Cell lengths 3.5254, 3.5254, 31.2181 Å; angles 90.00, 90.00, 120.00 degrees
Space group R-3m (No. 166, hexagonal axes)
One atom of each set of equivalent atoms:
Tl  0.0000  0.0000  0.0000 [3 per cell]
Sb  0.0000  0.0000  0.2472 [6 per cell]
Br  0.0000  0.0000  0.5000 [3 per cell]

The energy above the most stable polymorph in this dataset comes out at 467 meV/atom. Its electronic total energy is -2.92 eV per atom. As for the uncorrected formation energy: 0.587 eV per formula unit.

7.
Below is a geometry-optimized HfTiH structure, with properties calculated at the PBE level.

Cell lengths 2.963, 2.963, 4.612 Å; angles 90.00, 90.00, 90.00 degrees
Space group P4/mmm (No. 123)
One atom of each set of equivalent atoms:
Hf  0.000  0.000  0.000 [1 per cell]
Ti  0.500  0.500  0.500 [1 per cell]
H  0.000  0.000  0.500 [1 per cell]

The energy above the most stable polymorph in this dataset comes out at 25 meV/atom. Its electronic total energy is -7.22 eV per atom.

8.
Below is a geometry-optimized K2LaAu structure, with properties calculated at the PBE level.

Cell lengths 11.240, 11.240, 5.850 Å; angles 90.00, 90.00, 90.00 degrees
Space group I-42d (No. 122)
One atom of each set of equivalent atoms:
K  0.146  0.250  0.125 [8 per cell]
La  0.000  0.000  0.500 [4 per cell]
Au  0.000  0.000  0.000 [4 per cell]

The energy above the most stable polymorph in this dataset comes out at 366 meV/atom. Its electronic total energy is -2.45 eV per atom. The calculated formation energy comes out at 149 meV per atom.

no.,total moment (Bohr magnetons per cell)
1,0.00
2,4.63
3,0.00
4,0.00
5,0.00
6,0.00
7,0.00
8,0.02